# CsNaAg4 (PBE, relaxed)
# DFT total energy ... -2.18 eV/atom
# Calculated formation energy ... 0.5 eV/f.u.
data_CsNaAg4
_symmetry_space_group_name_H-M 'F -4 3 m'
_symmetry_Int_Tables_number 216
_symmetry_space_group_name_Hall 'F -4 2 3'
_cell_length_a 8.4616
_cell_length_b 8.4616
_cell_length_c 8.4616
_cell_angle_alpha 90.00
_cell_angle_beta 90.00
_cell_angle_gamma 90.00
loop_
_atom_site_label
_atom_site_type_symbol
_atom_site_fract_x
_atom_site_fract_y
_atom_site_fract_z
Cs1 Cs 0.0000 0.0000 0.0000
Na1 Na 0.2500 0.2500 0.2500
Ag1 Ag 0.1238 0.1238 0.6238